{"formula": "Sm2PuPd", "functional": "PBE", "state": "optimized geometry", "density_g_cm3": 10.486, "dos_at_fermi_per_ev_cell": 16.006, "magmom_total_mub_per_cell": 6.92, "formation_enthalpy_0k_ev_per_atom": 0.000, "polymorph_energy_kj_per_mol_fu": 105.8, "lattice": [[5.2626, 0.0000, 0.0000], [2.6313, 4.5576, 0.0000], [2.6313, 1.5192, 4.2990]], "species": ["Pu", "Pd", "Sm", "Sm"], "fractional_positions": [[0.5000, 0.5000, 0.5000], [0.0000, 0.0000, 0.0000], [0.7500, 0.7500, 0.7501], [0.2500, 0.2500, 0.2499]]}